(1)
A relaxed structure of InCu2Cl, computed with PBE.

Results
Energy above the lowest structure with this stoichiometry (meV per atom): 25
Formation energy (no corrections) (eV/f.u.): -0.28
Electronic total energy (eV per cell): -26.122

Lattice parameters (Å, degrees): 12.4912 3.3542 4.3427 90.00 101.89 90.00
Space group Cm (No. 8)
Unique sites:
In  0.0000  0.0000  0.0000
Cu  0.3544  0.5000  0.3969
Cu  0.4986  0.0000  0.5061
Cl  0.2245  0.0000  0.3610

=====

(2)
A relaxed structure of CdFeTe2, computed with PBE.

Results
Formation energy (no corrections) (eV/f.u.): 0.53
Electronic total energy (eV per cell): -30.267

Lattice parameters (Å, degrees): 3.1698 3.2582 19.6066 90.00 90.00 90.00
Space group Imm2 (No. 44)
Unique sites:
Cd  0.0000  0.0000  0.0000
Fe  0.0000  0.5000  0.2646
Te  0.0000  0.0000  0.6607
Te  0.0000  0.5000  0.8316

=====

(3)
A relaxed structure of ZnW, computed with PBE.

Results
Energy above the lowest structure with this stoichiometry (meV per atom): 188
Energy of formation from the pure elements (eV/atom): 0.351
Electronic total energy (eV per cell): -40.576

Lattice parameters (Å, degrees): 2.7917 2.7917 13.7476 90.00 90.00 120.00
Space group R-3m (No. 166, hexagonal axes)
Unique sites:
Zn  0.0000  0.0000  0.0000
W  0.0000  0.0000  0.5000

=====

no.,total magnetization (μB per formula unit)
1,0.00
2,1.01
3,0.00